(1)
{"formula": "SmPaZnIn", "functional": "PBE", "state": "relaxed", "m_tot_mub_per_fu": 0.90, "spacegroup": "F-43m", "e_tot_ev_per_fu": -18.31, "formation_energy_ev_per_atom": -0.02, "dos_at_fermi_per_ev_atom": 1.6083, "cell": [[-1.622, 3.274, 3.758], [-1.379, -1.877, 4.696], [3.034, 0.904, 4.178]], "species": ["In", "Sm", "Pa", "Zn"], "fractional_positions": [[0.500, 0.500, 0.500], [0.250, 0.250, 0.250], [0.750, 0.750, 0.750], [0.000, 0.000, 0.000]]}

(2)
{"formula": "BeAgGe3", "functional": "PBE", "state": "relaxed", "m_tot_mub_per_fu": 0.00, "spacegroup": "Pm-3m", "e_tot_ev_per_fu": -14.64, "de_polymorph_ev_per_fu": 3.39, "formation_energy_ev_per_atom": 1.16, "dos_at_fermi_per_ev_atom": 0.6338, "cell": [[-3.571, -2.796, -2.046], [0.452, -3.289, 3.705], [-3.434, 2.473, 2.615]], "species": ["Ge", "Ge", "Ge", "Be", "Ag"], "fractional_positions": [[0.000, 0.500, 0.000], [0.500, 0.000, 0.000], [0.000, 0.000, 0.500], [0.500, 0.500, 0.500], [0.000, 0.000, 0.000]]}

(3)
{"formula": "RbSm4Te6", "functional": "PBE", "state": "relaxed", "m_tot_mub_per_fu": 0.00, "spacegroup": "Cmcm", "e_tot_ev_per_fu": -53.82, "formation_energy_uncorrected_mev_per_atom": -1374.9, "dos_at_fermi_per_ev_atom": 0.2390, "cell": [[-1.447, -4.275, -0.120], [1.905, 1.531, 7.394], [-22.136, 7.376, 4.176]], "species": ["Te", "Te", "Te", "Te", "Te", "Te", "Te", "Te", "Te", "Te", "Te", "Te", "Sm", "Sm", "Sm", "Sm", "Sm", "Sm", "Sm", "Sm", "Rb", "Rb"], "fractional_positions": [[0.651, 0.302, 0.750], [0.042, 0.084, 0.155], [0.229, 0.459, 0.918], [0.500, 0.000, 0.500], [0.958, 0.916, 0.655], [0.771, 0.541, 0.082], [0.042, 0.084, 0.345], [0.500, 0.000, 0.000], [0.771, 0.541, 0.418], [0.229, 0.459, 0.582], [0.349, 0.698, 0.250], [0.958, 0.916, 0.845], [0.594, 0.187, 0.630], [0.866, 0.732, 0.960], [0.134, 0.268, 0.460], [0.406, 0.813, 0.370], [0.134, 0.268, 0.040], [0.406, 0.813, 0.130], [0.866, 0.732, 0.540], [0.594, 0.187, 0.870], [0.662, 0.323, 0.250], [0.338, 0.677, 0.750]]}

(4)
{"formula": "Cs2Th2HgTe6", "functional": "PBE", "state": "relaxed", "m_tot_mub_per_fu": 0.00, "spacegroup": "C2/m", "e_tot_ev_per_fu": -46.70, "formation_energy_uncorrected_mev_per_atom": -1000.4, "cell": [[-5.503, -0.511, 6.174], [0.763, -5.548, -6.107], [7.575, -2.785, 5.007]], "species": ["Te", "Te", "Te", "Te", "Te", "Te", "Th", "Th", "Cs", "Cs", "Hg"], "fractional_positions": [[0.942, 0.567, 0.298], [0.251, 0.251, 0.338], [0.749, 0.749, 0.662], [0.567, 0.942, 0.298], [0.058, 0.433, 0.702], [0.433, 0.058, 0.702], [0.328, 0.672, 0.500], [0.672, 0.328, 0.500], [0.151, 0.849, 0.000], [0.849, 0.151, 0.000], [0.000, 0.000, 0.500]]}